No. 1
First-principles (PBE) data for an optimized crystal structure of LiYGe2S6, as listed in Alexandria via LeMat-Bulk.

Structure (extended XYZ):
```
20
Lattice="6.2544 -5.8181 0.0000 6.2544 5.8181 0.0000 -1.5917 0.0000 6.3255" Properties=species:S:1:pos:R:3 pbc="T T T"
Li 5.0606 3.2260 4.7441
Li 5.8564 -3.2260 1.5814
Y 5.8564 1.3414 1.5814
Y 5.0606 -1.3414 4.7441
Ge 1.2838 0.9541 4.8805
Ge 2.0797 -0.9541 1.7177
Ge 8.8373 0.9541 4.6078
Ge 9.6332 -0.9541 1.4450
S 1.5995 0.8508 0.4314
S 3.9763 3.0213 2.4841
S 0.8036 -0.8508 3.5941
S 3.4996 0.9898 5.2998
S 7.7366 3.0213 0.6786
S 4.2955 -0.9898 2.1371
S 6.6215 0.9898 4.1884
S 3.1804 -3.0213 5.6469
S 7.4174 -0.9898 1.0257
S 10.1134 0.8508 2.7313
S 6.9407 -3.0213 3.8414
S 9.3175 -0.8508 5.8941
```

Computed properties:
**Size of the total moment**: 0.00 μB/f.u.
**E_form (uncorrected)**: -844 kJ/mol of formula units
**Energy**: -5.112 eV per atom
**Space-group type**: No. 15

---

No. 2
First-principles (PBE) data for an optimized crystal structure of Li2GeSb, as listed in Alexandria via LeMat-Bulk.

Structure (extended XYZ):
```
8
Lattice="-2.0976 2.0976 9.3217 2.0976 -2.0976 9.3217 2.0976 2.0976 -9.3217" Properties=species:S:1:pos:R:3 pbc="T T T"
Li 3.1464 0.9718 -2.3304
Li 0.9718 1.0488 2.3304
Li -1.0488 1.1258 6.9913
Li 1.1258 1.0488 11.6522
Ge 0.0000 0.0000 0.0000
Ge 0.0000 2.0976 4.6609
Sb 2.0976 0.0000 4.6609
Sb 0.0000 0.0000 9.3217
```

Computed properties:
**Size of the total moment**: 0.00 μB/f.u.
**E_form (uncorrected)**: -76 kJ/mol of formula units
**Energy relative to the lowest polymorph listed for this composition**: 0.142 eV per atom
**Energy**: -3.338 eV per atom
**Space-group type**: No. 122